Record 1
# AlAu5 | Alexandria | GGA-PBEsol | optimized geometry
# offset from the most stable computed form: 0 meV/atom
# DOS at the Fermi energy: 0.351 states/eV/atom
# magnetic moment: 0.0000 μB/atom
data_AlAu5
_cell_length_a 4.969
_cell_length_b 4.969
_cell_length_c 4.638
_cell_angle_alpha 90.00
_cell_angle_beta 90.00
_cell_angle_gamma 120.00
_symmetry_space_group_name_H-M 'P 1'
_symmetry_Int_Tables_number 1
loop_
_symmetry_equiv_pos_as_xyz
'x,y,z'
loop_
_atom_site_label
_atom_site_type_symbol
_atom_site_fract_x
_atom_site_fract_y
_atom_site_fract_z
Al1 Al 0.000 0.000 0.000
Au1 Au 0.000 0.676 0.500
Au2 Au 0.324 0.324 0.500
Au3 Au 0.333 0.667 0.000
Au4 Au 0.667 0.333 0.000
Au5 Au 0.676 0.000 0.500

Record 2
# AlAu4 | Alexandria | GGA-PBEsol | optimized geometry
# offset from the most stable computed form: 83 meV/atom
# DOS at the Fermi energy: 0.258 states/eV/atom
# magnetic moment: 0.0000 μB/atom
data_AlAu4
_cell_length_a 5.112
_cell_length_b 2.979
_cell_length_c 11.051
_cell_angle_alpha 90.00
_cell_angle_beta 98.54
_cell_angle_gamma 90.00
_symmetry_space_group_name_H-M 'P 1'
_symmetry_Int_Tables_number 1
loop_
_symmetry_equiv_pos_as_xyz
'x,y,z'
loop_
_atom_site_label
_atom_site_type_symbol
_atom_site_fract_x
_atom_site_fract_y
_atom_site_fract_z
Al1 Al 0.000 0.000 0.000
Al2 Al 0.500 0.500 0.000
Au1 Au 0.109 0.500 0.819
Au2 Au 0.202 0.000 0.605
Au3 Au 0.298 0.500 0.395
Au4 Au 0.391 0.000 0.181
Au5 Au 0.609 0.000 0.819
Au6 Au 0.702 0.500 0.605
Au7 Au 0.798 0.000 0.395
Au8 Au 0.891 0.500 0.181

Record 3
# AlAu7 | Alexandria | GGA-PBEsol | optimized geometry
# final energy: -4.056 eV per atom
# DOS at the Fermi energy: 0.340 states/eV/atom
# magnetic moment: 0.0000 μB/atom
data_AlAu7
_cell_length_a 5.738
_cell_length_b 5.738
_cell_length_c 5.738
_cell_angle_alpha 60.00
_cell_angle_beta 60.00
_cell_angle_gamma 60.00
_symmetry_space_group_name_H-M 'P 1'
_symmetry_Int_Tables_number 1
loop_
_symmetry_equiv_pos_as_xyz
'x,y,z'
loop_
_atom_site_label
_atom_site_type_symbol
_atom_site_fract_x
_atom_site_fract_y
_atom_site_fract_z
Al1 Al 0.000 0.000 0.000
Au1 Au 0.000 0.000 0.500
Au2 Au 0.000 0.500 0.000
Au3 Au 0.000 0.500 0.500
Au4 Au 0.500 0.000 0.000
Au5 Au 0.500 0.000 0.500
Au6 Au 0.500 0.500 0.000
Au7 Au 0.500 0.500 0.500